Entry 1:
# Hg8Br (GGA-PBE, optimized geometry)
# Total DFT energy (no corrections) ... -0.504 eV per atom
# ΔE_f (raw) ... -0.446 eV per formula unit
# Crystal system ... tetragonal
# Energy relative to the lowest polymorph listed for this composition ... 0.00 eV/f.u.
data_Hg8Br
_space_group_name_H-M_alt 'I 4/m m m'
_space_group_IT_number 139
_space_group_name_Hall '-I 4 2'
_cell_length_a 9.460
_cell_length_b 9.460
_cell_length_c 5.868
_cell_angle_alpha 90.00
_cell_angle_beta 90.00
_cell_angle_gamma 90.00
loop_
_atom_site_label
_atom_site_fract_x
_atom_site_fract_y
_atom_site_fract_z
Hg1 0.000 0.335 0.000
Hg2 0.167 0.167 0.500
Br1 0.000 0.000 0.000


Entry 2:
# Hg2Br (GGA-PBE, optimized geometry)
# Total DFT energy (no corrections) ... -0.811 eV per atom
# ΔE_f (raw) ... -0.157 eV per formula unit
# Crystal system ... cubic
# Energy relative to the lowest polymorph listed for this composition ... 0.58 eV/f.u.
data_Hg2Br
_space_group_name_H-M_alt 'P a -3'
_space_group_IT_number 205
_space_group_name_Hall '-P 2ac 2ab 3'
_cell_length_a 7.534
_cell_length_b 7.534
_cell_length_c 7.534
_cell_angle_alpha 90.00
_cell_angle_beta 90.00
_cell_angle_gamma 90.00
loop_
_atom_site_label
_atom_site_fract_x
_atom_site_fract_y
_atom_site_fract_z
Hg1 0.109 0.109 0.109
Br1 0.000 0.000 0.500


Entry 3:
# Hg2Br (GGA-PBE, optimized geometry)
# Total DFT energy (no corrections) ... -0.876 eV per atom
# ΔE_f (raw) ... -0.353 eV per formula unit
# Crystal system ... orthorhombic
# Energy relative to the lowest polymorph listed for this composition ... 0.38 eV/f.u.
data_Hg2Br
_space_group_name_H-M_alt 'I m m m'
_space_group_IT_number 71
_space_group_name_Hall '-I 2 2'
_cell_length_a 3.801
_cell_length_b 6.304
_cell_length_c 8.376
_cell_angle_alpha 90.00
_cell_angle_beta 90.00
_cell_angle_gamma 90.00
loop_
_atom_site_label
_atom_site_fract_x
_atom_site_fract_y
_atom_site_fract_z
Hg1 0.000 0.000 0.167
Br1 0.000 0.000 0.500


Entry 4:
# HgBr3 (GGA-PBE, optimized geometry)
# Total DFT energy (no corrections) ... -1.534 eV per atom
# ΔE_f (raw) ... -0.814 eV per formula unit
# Crystal system ... orthorhombic
data_HgBr3
_space_group_name_H-M_alt 'P n m a'
_space_group_IT_number 62
_space_group_name_Hall '-P 2ac 2n'
_cell_length_a 5.828
_cell_length_b 12.710
_cell_length_c 7.444
_cell_angle_alpha 90.00
_cell_angle_beta 90.00
_cell_angle_gamma 90.00
loop_
_atom_site_label
_atom_site_fract_x
_atom_site_fract_y
_atom_site_fract_z
Hg1 0.120 0.250 0.027
Br1 0.121 0.250 0.382
Br2 0.124 0.091 0.778